Computed, not measured: a geometry-optimized Bi2MoClF structure at the PBE with a Hubbard U level of DFT.

Properties
ρ = 6.24 g cm⁻³
Density of states at the Fermi level = 3.749 states/eV/f.u.
Calculated total energy = -15.7 eV per cell

a = 5.596 Å, b = 4.827 Å, c = 5.596 Å
α = 90.00°, β = 90.00°, γ = 90.00°
Atoms (fractional coordinates):
Mo: 0.000 0.500 0.000
F: 0.500 0.500 0.500
Bi: 0.000 0.000 0.500
Bi: 0.500 0.000 0.000
Cl: 0.000 0.000 0.000